Y3WO7: relaxed, PBE with a Hubbard U.

Geometry as CIF:
```
data_Y3WO7
_chemical_formula_sum 'Y12 W4 O28'
_cell_length_a 7.538
_cell_length_b 10.583
_cell_length_c 7.501
_cell_angle_alpha 90.00
_cell_angle_beta 90.00
_cell_angle_gamma 90.00
_symmetry_space_group_name_H-M 'C 2 2 21'
_symmetry_Int_Tables_number 20
_symmetry_space_group_name_Hall 'C 2c 2'
loop_
_atom_site_label
_atom_site_type_symbol
_atom_site_fract_x
_atom_site_fract_y
_atom_site_fract_z
Y1 Y 0.020 0.000 0.000
Y2 Y 0.233 0.266 0.753
W1 W 0.000 0.500 0.000
O1 O 0.000 0.131 0.250
O2 O 0.000 0.137 0.750
O3 O 0.000 0.426 0.750
O4 O 0.191 0.374 0.033
O5 O 0.203 0.378 0.473
```

## Properties
The raw total energy is -8.71 eV per atom.